# 1
AlCdTeN2, relaxed, DFT GGA-PBE; V = 18.602 Å³ per atom; DOS(E_F) = 2.345 states/eV/cell; excess energy over the best structure of this formula in the dataset = 0 meV/atom; E_form (uncorrected) = 0.739 eV/atom; space-group type = No. 123
1.0
3.932 0.000 0.000
0.000 3.932 0.000
0.000 0.000 6.015
Al Cd Te N
1 1 1 2
Cartesian
0.000 0.000 0.000
1.966 1.966 3.008
0.000 0.000 3.008
0.000 1.966 0.000
1.966 0.000 0.000

# 2
ReBTe2I, relaxed, DFT GGA-PBE; V = 20.857 Å³ per atom; DOS(E_F) = 3.243 states/eV/cell; excess energy over the best structure of this formula in the dataset = 78 meV/atom; E_form (uncorrected) = 1.590 eV/atom; space-group type = No. 123
1.0
4.688 0.000 0.000
0.000 4.688 0.000
0.000 0.000 4.745
Re B Te I
1 1 2 1
Cartesian
0.000 0.000 0.000
2.344 2.344 2.372
0.000 2.344 2.372
2.344 0.000 2.372
2.344 2.344 0.000